(one)
Density functional theory data (PBE) for an optimized crystal structure of CsAlMo.

The structure in POSCAR format:
```
CsAlMo
1.0
0.1118 -4.8945 0.7772
-3.0992 -2.9739 -2.4744
1.7472 -3.0283 -3.5141
Al Cs Mo
1 1 1
direct
0.2500 0.2500 0.2500
0.7500 0.7500 0.7500
0.0000 0.0000 0.0000
```

## Properties
Magnetic moment: 1.996 μB per formula unit
SG: F-43m
Volume: 28.7 Å³ per atom

(two)
Density functional theory data (PBE) for an optimized crystal structure of CsAlMo.

The structure in POSCAR format:
```
CsAlMo
1.0
0.0000 3.9529 3.9529
3.9529 0.0000 3.9529
3.9529 3.9529 0.0000
Al Cs Mo
1 1 1
direct
0.2500 0.2500 0.2500
0.0000 0.0000 0.0000
0.7500 0.7500 0.7500
```

## Properties
Magnetic moment: 4.177 μB per formula unit
SG: F-43m
Volume: 41.2 Å³ per atom

What should be chosen as the least stable of them? Choose (two).